# 1
VASP calculation (PBE-GGA) on an optimized crystal structure of Cd2ReHg.

It has space group Cm (No. 8), with a = 10.069 Å, b = 2.876 Å, c = 5.392 Å, α = 90.00°, β = 99.46° and γ = 90.00°. Symmetry generates all atoms from Cd at (0.000, 0.000, 0.000), Cd at (0.242, 0.000, 0.735), Re at (0.243, 0.500, 0.229) and Hg at (0.486, 0.000, 0.475).

Its crystal system is monoclinic. The calculation puts the formation enthalpy at 0 K at 0.61 eV/atom. The uncorrected energy comes out at -0.223 Ry/atom.

# 2
VASP calculation (PBE-GGA) on an optimized crystal structure of CdRe4Hg.

It has space group F-43m (No. 216), with a = 7.508 Å, b = 7.508 Å, c = 7.508 Å, α = 90.00°, β = 90.00° and γ = 90.00°. Symmetry generates all atoms from Cd at (0.000, 0.000, 0.000), Re at (0.125, 0.125, 0.375) and Hg at (0.250, 0.250, 0.750).

Its crystal system is cubic. The calculation puts the formation enthalpy at 0 K at 0.76 eV/atom. The uncorrected energy comes out at -0.569 Ry/atom.

# 3
VASP calculation (PBE-GGA) on an optimized crystal structure of CdRe2Hg.

It has space group C2/m (No. 12), with a = 9.916 Å, b = 2.889 Å, c = 4.918 Å, α = 90.00°, β = 99.85° and γ = 90.00°. Symmetry generates all atoms from Cd at (0.000, 0.000, 0.000), Re at (0.249, 0.000, 0.757) and Hg at (0.000, 0.500, 0.500).

Its crystal system is monoclinic. The calculation puts the formation enthalpy at 0 K at 0.81 eV/atom. The uncorrected energy comes out at -0.420 Ry/atom. As for the energy above the most stable polymorph in this dataset: 0.4969 eV per atom.